# 1
Compound: Nd3Y2In4
Source: the Alexandria database
Functional: PBE
Structure: optimized geometry

Computed properties:
energy relative to the lowest polymorph listed for this composition	0.177	eV/atom
magnetization	0.000	μB/atom
energy of formation	-0.251	eV per atom
crystal system	orthorhombic

Lattice parameters (Å, degrees): 7.2279 9.9951 8.5877 90.00 114.89 90.00
With the nearest neighbours (Å) after each atom.
Positions (direct):
Y: 0.6048 0.9596 0.2096  3 In 3.15-3.29, 1 Y 3.36
In: 0.8037 0.0169 0.6074  5 Nd 3.06-3.25, 1 Y 3.15
Nd: 0.4739 0.2500 0.4478  5 In 3.20-3.34
In: 0.2593 0.2500 0.0186  3 Nd 3.09-3.34, 2 Y 3.29
Nd: 0.9739 0.2500 0.4478  5 In 3.20-3.34
Y: 0.3952 0.0404 0.7904  3 In 3.15-3.29, 1 Y 3.36
In: 0.3037 0.4831 0.6074  5 Nd 3.06-3.25, 1 Y 3.15
Nd: 0.5261 0.7500 0.5522  5 In 3.20-3.34
Nd: 0.0261 0.7500 0.5522  5 In 3.20-3.34
In: 0.7593 0.2500 0.0186  3 Nd 3.09-3.34, 2 Y 3.29
In: 0.2407 0.7500 0.9814  3 Nd 3.09-3.34, 2 Y 3.29
Nd: 0.5000 0.5000 0.0000  6 In 3.06-3.09
Nd: 0.0000 0.0000 0.0000  6 In 3.06-3.09
Y: 0.1048 0.5404 0.2096  3 In 3.15-3.29, 1 Y 3.36
In: 0.1963 0.9831 0.3926  5 Nd 3.06-3.25, 1 Y 3.15
In: 0.7407 0.7500 0.9814  3 Nd 3.09-3.34, 2 Y 3.29
Y: 0.8952 0.4596 0.7904  3 In 3.15-3.29, 1 Y 3.36
In: 0.6963 0.5169 0.3926  5 Nd 3.06-3.25, 1 Y 3.15

---

# 2
Compound: PuAl2GaAu4
Source: the Alexandria database
Functional: PBE
Structure: optimized geometry

Computed properties:
magnetization	0.668	μB/atom
energy of formation	-0.342	eV per atom
crystal system	trigonal

Lattice parameters (Å, degrees): 4.3831 4.3831 9.7235 76.97 76.97 60.00
With the nearest neighbours (Å) after each atom.
Positions (direct):
Au: 0.6042 0.6042 0.1875  3 Al 2.62
Au: 0.3958 0.3958 0.8125  3 Al 2.62
Pu: 0.0000 0.0000 0.0000  6 Au 3.08
Au: 0.1269 0.1269 0.6193  3 Ga 2.77, 3 Al 2.77
Al: 0.7532 0.7532 0.7405  6 Au 2.62-2.77
Al: 0.2468 0.2468 0.2595  6 Au 2.62-2.77
Ga: 0.5000 0.5000 0.5000  8 Au 2.77-2.93
Au: 0.8731 0.8731 0.3807  3 Ga 2.77, 3 Al 2.77

---

# 3
Compound: YAlCr
Source: the Alexandria database
Functional: PBE
Structure: optimized geometry

Computed properties:
magnetization	0.904	μB/atom
energy of formation	0.061	eV per atom
crystal system	tetragonal

Lattice parameters (Å, degrees): 6.0334 6.0337 6.0337 148.52 148.51 45.13
With the nearest neighbours (Å) after each atom.
Positions (direct):
Cr: 0.3545 0.3547 0.9998  4 Al 2.66
Al: 0.9715 0.9716 0.0000  4 Cr 2.66
Y: 0.6739 0.6737 0.0003  4 Cr 3.07, 5 Al 3.23-3.32, 4 Y 3.27